! BaHoBi2, optimized geometry, DFT PBE-GGA; values from VASP
! Symmetry: R3m (160)
! Energy relative to the lowest polymorph listed for this composition, eV/atom: 0.0305
&SYSTEM
  ibrav = 0, nat = 4, ntyp = 3
/
ATOMIC_SPECIES
Ba 137.33 Ba.upf
Ho 164.93 Ho.upf
Bi 208.98 Bi.upf
CELL_PARAMETERS angstrom
2.2988 1.3272 8.3958
-2.2988 1.3272 8.3958
0.0000 -2.6544 8.3958
ATOMIC_POSITIONS angstrom
Ba 0.0000 0.0000 0.0000
Ho 0.0000 0.0000 4.3165
Bi 0.0000 0.0000 14.4296
Bi 0.0000 0.0000 19.2881


! BaHoBi2, optimized geometry, DFT PBE-GGA; values from VASP
! Symmetry: P4/mmm (123)
! Energy relative to the lowest polymorph listed for this composition, eV/atom: 0.0753
&SYSTEM
  ibrav = 0, nat = 4, ntyp = 3
/
ATOMIC_SPECIES
Ba 137.33 Ba.upf
Ho 164.93 Ho.upf
Bi 208.98 Bi.upf
CELL_PARAMETERS angstrom
3.9467 0.0000 0.0000
0.0000 3.9467 0.0000
0.0000 0.0000 8.7687
ATOMIC_POSITIONS angstrom
Ba 0.0000 0.0000 0.0000
Ho 0.0000 0.0000 4.3844
Bi 1.9733 1.9733 2.4948
Bi 1.9733 1.9733 6.2740


! BaHoBi2, optimized geometry, DFT PBE-GGA; values from VASP
! Symmetry: R-3m (166)
! Energy relative to the lowest polymorph listed for this composition, eV/atom: 0.0000
&SYSTEM
  ibrav = 0, nat = 4, ntyp = 3
/
ATOMIC_SPECIES
Ba 137.33 Ba.upf
Ho 164.93 Ho.upf
Bi 208.98 Bi.upf
CELL_PARAMETERS angstrom
2.3763 1.3720 7.8439
-2.3763 1.3720 7.8439
0.0000 -2.7440 7.8439
ATOMIC_POSITIONS angstrom
Ba 0.0000 0.0000 0.0000
Ho 0.0000 0.0000 11.7658
Bi 0.0000 0.0000 5.5415
Bi 0.0000 0.0000 17.9901


! Ba2HoBi2, optimized geometry, DFT PBE-GGA; values from VASP
! Symmetry: Ibam (72)
&SYSTEM
  ibrav = 0, nat = 10, ntyp = 3
/
ATOMIC_SPECIES
Ba 137.33 Ba.upf
Ho 164.93 Ho.upf
Bi 208.98 Bi.upf
CELL_PARAMETERS angstrom
-4.1286 7.2694 3.6288
4.1286 -7.2694 3.6288
4.1286 7.2694 -3.6288
ATOMIC_POSITIONS angstrom
Ba 1.3686 2.1244 0.0000
Ba 1.3686 -2.1244 3.6288
Ba 2.7599 9.3939 0.0000
Ba 2.7599 5.1450 3.6288
Ho 4.1286 0.0000 1.8144
Ho 0.0000 7.2694 1.8144
Bi 6.0622 1.6207 0.0000
Bi 1.9336 5.6487 0.0000
Bi 2.1950 1.6207 3.6288
Bi -1.9336 5.6487 3.6288


Calculated volume, respectively: 38.42 34.15 38.36 43.56 A^3/atom.
Calculated formation energy, respectively: -0.73 -0.68 -0.76 -0.76 eV per atom.
Density of states at the Fermi level, respectively: 0.54 0.62 0.86 0.69 states/eV/atom.